i.
This record from the Alexandria database describes a geometry-optimized BaMnBe3 structure. The functional is PBE.

```
data_BaMnBe3
_space_group_name_H-M_alt 'P m -3 m'
_space_group_IT_number 221
_space_group_name_Hall '-P 4 2 3'
_cell_length_a 5.0228
_cell_length_b 5.0228
_cell_length_c 5.0228
_cell_angle_alpha 90.00
_cell_angle_beta 90.00
_cell_angle_gamma 90.00
loop_
_atom_site_label
_atom_site_type_symbol
_atom_site_fract_x
_atom_site_fract_y
_atom_site_fract_z
_atom_site_occupancy
Ba1 Ba 0.0000 0.0000 0.0000 1
Mn1 Mn 0.5000 0.5000 0.5000 1
Be1 Be 0.0000 0.0000 0.5000 1
```

ii.
This record from the Alexandria database describes a geometry-optimized BaMnBe3 structure. The functional is PBE.

```
data_BaMnBe3
_space_group_name_H-M_alt 'P m -3 m'
_space_group_IT_number 221
_space_group_name_Hall '-P 4 2 3'
_cell_length_a 4.5093
_cell_length_b 4.5093
_cell_length_c 4.5093
_cell_angle_alpha 90.00
_cell_angle_beta 90.00
_cell_angle_gamma 90.00
loop_
_atom_site_label
_atom_site_type_symbol
_atom_site_fract_x
_atom_site_fract_y
_atom_site_fract_z
_atom_site_occupancy
Ba1 Ba 0.0000 0.0000 0.0000 1
Mn1 Mn 0.5000 0.5000 0.5000 1
Be1 Be 0.0000 0.5000 0.5000 1
```

Most stable one: ii, least stable one: i.

i.
This record from the Alexandria database describes a geometry-optimized BaBeS2N structure. The functional is PBE.

```
data_BaBeS2N
_space_group_name_H-M_alt 'P 4/m m m'
_space_group_IT_number 123
_space_group_name_Hall '-P 4 2'
_cell_length_a 5.3323
_cell_length_b 5.3323
_cell_length_c 3.3548
_cell_angle_alpha 90.00
_cell_angle_beta 90.00
_cell_angle_gamma 90.00
loop_
_atom_site_label
_atom_site_type_symbol
_atom_site_fract_x
_atom_site_fract_y
_atom_site_fract_z
_atom_site_occupancy
Ba1 Ba 0.0000 0.0000 0.0000 1
Be1 Be 0.5000 0.5000 0.5000 1
S1 S 0.0000 0.5000 0.5000 1
N1 N 0.5000 0.5000 0.0000 1
```

ii.
This record from the Alexandria database describes a geometry-optimized BaBeS2N structure. The functional is PBE.

```
data_BaBeS2N
_space_group_name_H-M_alt 'P 4/m m m'
_space_group_IT_number 123
_space_group_name_Hall '-P 4 2'
_cell_length_a 6.0540
_cell_length_b 6.0540
_cell_length_c 5.3240
_cell_angle_alpha 90.00
_cell_angle_beta 90.00
_cell_angle_gamma 90.00
loop_
_atom_site_label
_atom_site_type_symbol
_atom_site_fract_x
_atom_site_fract_y
_atom_site_fract_z
_atom_site_occupancy
Ba1 Ba 0.0000 0.0000 0.0000 1
Be1 Be 0.5000 0.5000 0.5000 1
S1 S 0.0000 0.5000 0.0000 1
N1 N 0.0000 0.0000 0.5000 1
```

Most stable one: i, least stable one: ii.

i.
This record from the Alexandria database describes a geometry-optimized BaBeSe2N structure. The functional is PBE.

```
data_BaBeSe2N
_space_group_name_H-M_alt 'P 4/m m m'
_space_group_IT_number 123
_space_group_name_Hall '-P 4 2'
_cell_length_a 5.8084
_cell_length_b 5.8084
_cell_length_c 3.2080
_cell_angle_alpha 90.00
_cell_angle_beta 90.00
_cell_angle_gamma 90.00
loop_
_atom_site_label
_atom_site_type_symbol
_atom_site_fract_x
_atom_site_fract_y
_atom_site_fract_z
_atom_site_occupancy
Ba1 Ba 0.0000 0.0000 0.0000 1
Be1 Be 0.5000 0.5000 0.5000 1
Se1 Se 0.0000 0.5000 0.5000 1
N1 N 0.5000 0.5000 0.0000 1
```

ii.
This record from the Alexandria database describes a geometry-optimized BaBeSe2N structure. The functional is PBE.

```
data_BaBeSe2N
_space_group_name_H-M_alt 'P 4/m m m'
_space_group_IT_number 123
_space_group_name_Hall '-P 4 2'
_cell_length_a 6.3168
_cell_length_b 6.3168
_cell_length_c 5.3071
_cell_angle_alpha 90.00
_cell_angle_beta 90.00
_cell_angle_gamma 90.00
loop_
_atom_site_label
_atom_site_type_symbol
_atom_site_fract_x
_atom_site_fract_y
_atom_site_fract_z
_atom_site_occupancy
Ba1 Ba 0.0000 0.0000 0.0000 1
Be1 Be 0.5000 0.5000 0.5000 1
Se1 Se 0.0000 0.5000 0.0000 1
N1 N 0.0000 0.0000 0.5000 1
```

Most stable one: i, least stable one: ii.

i.
This record from the Alexandria database describes a geometry-optimized BaBeTe2N structure. The functional is PBE.

```
data_BaBeTe2N
_space_group_name_H-M_alt 'P 4/m m m'
_space_group_IT_number 123
_space_group_name_Hall '-P 4 2'
_cell_length_a 6.1504
_cell_length_b 6.1504
_cell_length_c 3.2410
_cell_angle_alpha 90.00
_cell_angle_beta 90.00
_cell_angle_gamma 90.00
loop_
_atom_site_label
_atom_site_type_symbol
_atom_site_fract_x
_atom_site_fract_y
_atom_site_fract_z
_atom_site_occupancy
Ba1 Ba 0.0000 0.0000 0.0000 1
Be1 Be 0.5000 0.5000 0.5000 1
Te1 Te 0.0000 0.5000 0.5000 1
N1 N 0.5000 0.5000 0.0000 1
```

ii.
This record from the Alexandria database describes a geometry-optimized BaBeTe2N structure. The functional is PBE.

```
data_BaBeTe2N
_space_group_name_H-M_alt 'P 4/m m m'
_space_group_IT_number 123
_space_group_name_Hall '-P 4 2'
_cell_length_a 6.6400
_cell_length_b 6.6400
_cell_length_c 4.3386
_cell_angle_alpha 90.00
_cell_angle_beta 90.00
_cell_angle_gamma 90.00
loop_
_atom_site_label
_atom_site_type_symbol
_atom_site_fract_x
_atom_site_fract_y
_atom_site_fract_z
_atom_site_occupancy
Ba1 Ba 0.0000 0.0000 0.0000 1
Be1 Be 0.5000 0.5000 0.5000 1
Te1 Te 0.0000 0.5000 0.0000 1
N1 N 0.0000 0.0000 0.5000 1
```

Most stable one: i, least stable one: ii.

i.
This record from the Alexandria database describes a geometry-optimized BaNa3Be structure. The functional is PBE.

```
data_BaNa3Be
_space_group_name_H-M_alt 'P m -3 m'
_space_group_IT_number 221
_space_group_name_Hall '-P 4 2 3'
_cell_length_a 7.4358
_cell_length_b 7.4358
_cell_length_c 7.4358
_cell_angle_alpha 90.00
_cell_angle_beta 90.00
_cell_angle_gamma 90.00
loop_
_atom_site_label
_atom_site_type_symbol
_atom_site_fract_x
_atom_site_fract_y
_atom_site_fract_z
_atom_site_occupancy
Ba1 Ba 0.0000 0.0000 0.0000 1
Na1 Na 0.0000 0.0000 0.5000 1
Be1 Be 0.5000 0.5000 0.5000 1
```

ii.
This record from the Alexandria database describes a geometry-optimized BaNa3Be structure. The functional is PBE.

```
data_BaNa3Be
_space_group_name_H-M_alt 'P m -3 m'
_space_group_IT_number 221
_space_group_name_Hall '-P 4 2 3'
_cell_length_a 5.6407
_cell_length_b 5.6407
_cell_length_c 5.6407
_cell_angle_alpha 90.00
_cell_angle_beta 90.00
_cell_angle_gamma 90.00
loop_
_atom_site_label
_atom_site_type_symbol
_atom_site_fract_x
_atom_site_fract_y
_atom_site_fract_z
_atom_site_occupancy
Ba1 Ba 0.0000 0.0000 0.0000 1
Na1 Na 0.0000 0.5000 0.5000 1
Be1 Be 0.5000 0.5000 0.5000 1
```

Most stable one: ii, least stable one: i.

i.
This record from the Alexandria database describes a geometry-optimized Ba2NaSrBe structure. The functional is PBE.

```
data_Ba2NaSrBe
_space_group_name_H-M_alt 'P 4/m m m'
_space_group_IT_number 123
_space_group_name_Hall '-P 4 2'
_cell_length_a 7.1003
_cell_length_b 7.1003
_cell_length_c 5.3658
_cell_angle_alpha 90.00
_cell_angle_beta 90.00
_cell_angle_gamma 90.00
loop_
_atom_site_label
_atom_site_type_symbol
_atom_site_fract_x
_atom_site_fract_y
_atom_site_fract_z
_atom_site_occupancy
Ba1 Ba 0.0000 0.5000 0.0000 1
Na1 Na 0.0000 0.0000 0.5000 1
Sr1 Sr 0.5000 0.5000 0.0000 1
Be1 Be 0.5000 0.5000 0.5000 1
```

ii.
This record from the Alexandria database describes a geometry-optimized Ba2NaSrBe structure. The functional is PBE.

```
data_Ba2NaSrBe
_space_group_name_H-M_alt 'P 4/m m m'
_space_group_IT_number 123
_space_group_name_Hall '-P 4 2'
_cell_length_a 6.7278
_cell_length_b 6.7278
_cell_length_c 5.0436
_cell_angle_alpha 90.00
_cell_angle_beta 90.00
_cell_angle_gamma 90.00
loop_
_atom_site_label
_atom_site_type_symbol
_atom_site_fract_x
_atom_site_fract_y
_atom_site_fract_z
_atom_site_occupancy
Ba1 Ba 0.0000 0.5000 0.0000 1
Na1 Na 0.0000 0.0000 0.0000 1
Sr1 Sr 0.5000 0.5000 0.5000 1
Be1 Be 0.0000 0.0000 0.5000 1
```

Most stable one: ii, least stable one: i.